Density functional theory data (GGA-PBEsol) for Y3Cu4Sn4 after structural relaxation.

Space group: No. 71

a = 4.4136 Å, b = 6.8458 Å, c = 8.3179 Å
α = 114.30°, β = 105.39°, γ = 90.00°
Last column: nearest neighbours and their distance in Å.
Fractional positions:
Y1 0.0000 0.5000 0.0000  6 Sn 3.00-3.14
Y2 0.8688 0.8688 0.7375  6 Sn 3.12-3.23, 6 Cu 3.13-3.15
Y3 0.1312 0.1312 0.2625  6 Sn 3.12-3.23, 6 Cu 3.13-3.15
Cu1 0.6707 0.4834 0.3413  1 Cu 2.56, 4 Sn 2.59-2.70
Cu2 0.6707 0.8579 0.3413  1 Cu 2.56, 4 Sn 2.59-2.70
Cu3 0.3293 0.1421 0.6587  1 Cu 2.56, 4 Sn 2.59-2.70
Cu4 0.3293 0.5166 0.6587  1 Cu 2.56, 4 Sn 2.59-2.70
Sn1 0.7836 0.2836 0.5672  6 Cu 2.64-2.70
Sn2 0.2164 0.7164 0.4328  6 Cu 2.64-2.70
Sn3 0.5000 0.7966 0.0000  2 Cu 2.59, 1 Sn 2.78
Sn4 0.5000 0.2034 0.0000  2 Cu 2.59, 1 Sn 2.78

---

Density functional theory data (GGA-PBEsol) for BaCaPb2 after structural relaxation.

Space group: No. 123

a = 3.6511 Å, b = 3.6511 Å, c = 9.6199 Å
α = 90.00°, β = 90.00°, γ = 90.00°
Last column: nearest neighbours and their distance in Å.
Fractional positions:
Pb1 0.0000 0.0000 0.7325  4 Ca 3.42, 4 Ba 3.65, 4 Pb 3.65
Pb2 0.0000 0.0000 0.2675  4 Ca 3.42, 4 Ba 3.65, 4 Pb 3.65
Ca1 0.5000 0.5000 0.5000  8 Pb 3.42, 4 Ca 3.65
Ba1 0.5000 0.5000 0.0000  8 Pb 3.65, 4 Ba 3.65

---

no.,calculated formation energy (eV per atom),E_tot (eV/atom)
1,-0.57,-5.56
2,-0.55,-3.62